Material: TbEuAu
Method: DFT, PBE-GGA
State: relaxed

Values from the calculation:
Total magnetic moment   14.5 Bohr magnetons per cell
Formation energy from the elements   -0.5302 eV/atom
Energy above the lowest structure with this stoichiometry   0.000 eV per atom
Raw total energy   -6.59 eV/atom
Theoretical density   9.5 Mg/m³

Cell: 3.7043 3.7043 12.9844 Å, 90.00 90.00 90.00°
Closest atoms and distances in Å follow each position.
Space group I4mm (No. 107)
Asymmetric unit:
Tb 0.0000 0.0000 0.0000 x2  4 Au 3.01
Eu 0.0000 0.0000 0.7282 x2  4 Au 3.33, 1 Tb 3.53, 4 Eu 3.70
Au 0.0000 0.0000 0.3862 x2  4 Tb 3.01, 4 Eu 3.33